# 1
A relaxed structure of Tm3Al5Te12. Source: Alexandria via LeMat-Bulk, functional GGA-PBE.

Results
VASP energy = -4.19 eV/atom
Uncorrected formation energy = -0.69 eV per atom

Unit cell a=14.7739 b=14.7739 c=14.7739 alpha=109.47 beta=109.47 gamma=109.47
Fractional positions:
Tm 0.1250 0.2500 0.3750
Tm 0.1250 0.3750 0.7500
Tm 0.2500 0.3750 0.1250
Tm 0.2500 0.8750 0.6250
Tm 0.3750 0.1250 0.2500
Tm 0.3750 0.7500 0.1250
Tm 0.6250 0.2500 0.8750
Tm 0.6250 0.8750 0.7500
Tm 0.7500 0.1250 0.3750
Tm 0.7500 0.6250 0.8750
Tm 0.8750 0.6250 0.2500
Tm 0.8750 0.7500 0.6250
Al 0.0000 0.0000 0.0000
Al 0.0000 0.0000 0.5000
Al 0.0000 0.5000 0.0000
Al 0.0000 0.5000 0.5000
Al 0.1250 0.7500 0.8750
Al 0.1250 0.8750 0.2500
Al 0.2500 0.1250 0.8750
Al 0.2500 0.6250 0.3750
Al 0.3750 0.2500 0.6250
Al 0.3750 0.6250 0.7500
Al 0.5000 0.0000 0.0000
Al 0.5000 0.0000 0.5000
Al 0.5000 0.5000 0.0000
Al 0.5000 0.5000 0.5000
Al 0.6250 0.3750 0.2500
Al 0.6250 0.7500 0.3750
Al 0.7500 0.3750 0.6250
Al 0.7500 0.8750 0.1250
Al 0.8750 0.1250 0.7500
Al 0.8750 0.2500 0.1250
Te 0.0365 0.2118 0.1259
Te 0.0365 0.3247 0.9106
Te 0.0858 0.7118 0.6753
Te 0.0858 0.8741 0.4106
Te 0.0894 0.6259 0.4142
Te 0.0894 0.9635 0.6753
Te 0.1259 0.0365 0.2118
Te 0.1259 0.5894 0.9142
Te 0.1753 0.2118 0.5858
Te 0.1753 0.4635 0.5894
Te 0.2118 0.1259 0.0365
Te 0.2118 0.5858 0.1753
Te 0.2882 0.3247 0.9142
Te 0.2882 0.4635 0.3741
Te 0.3247 0.9106 0.0365
Te 0.3247 0.9142 0.2882
Te 0.3741 0.2882 0.4635
Te 0.3741 0.5858 0.9106
Te 0.4106 0.0858 0.8741
Te 0.4106 0.8247 0.5365
Te 0.4142 0.0894 0.6259
Te 0.4142 0.8247 0.7882
Te 0.4635 0.3741 0.2882
Te 0.4635 0.5894 0.1753
Te 0.5365 0.4106 0.8247
Te 0.5365 0.6259 0.7118
Te 0.5858 0.1753 0.2118
Te 0.5858 0.9106 0.3741
Te 0.5894 0.1753 0.4635
Te 0.5894 0.9142 0.1259
Te 0.6259 0.4142 0.0894
Te 0.6259 0.7118 0.5365
Te 0.6753 0.0858 0.7118
Te 0.6753 0.0894 0.9635
Te 0.7118 0.5365 0.6259
Te 0.7118 0.6753 0.0858
Te 0.7882 0.4142 0.8247
Te 0.7882 0.8741 0.9635
Te 0.8247 0.5365 0.4106
Te 0.8247 0.7882 0.4142
Te 0.8741 0.4106 0.0858
Te 0.8741 0.9635 0.7882
Te 0.9106 0.0365 0.3247
Te 0.9106 0.3741 0.5858
Te 0.9142 0.1259 0.5894
Te 0.9142 0.2882 0.3247
Te 0.9635 0.6753 0.0894
Te 0.9635 0.7882 0.8741

=====

# 2
A relaxed structure of Tm2AlTe. Source: Alexandria via LeMat-Bulk, functional GGA-PBE.

Results
VASP energy = -4.81 eV/atom
Uncorrected formation energy = -0.85 eV per atom

Unit cell a=11.8160 b=11.8160 c=4.1318 alpha=90.00 beta=90.00 gamma=158.75
Fractional positions:
Tm 0.0627 0.9373 0.7500
Tm 0.3338 0.6662 0.7500
Tm 0.6662 0.3338 0.2500
Tm 0.9373 0.0627 0.2500
Al 0.4628 0.5372 0.7500
Al 0.5372 0.4628 0.2500
Te 0.1953 0.8047 0.7500
Te 0.8047 0.1953 0.2500